An optimized crystal structure of Cs2PaF8. Source: Alexandria, functional GGA-PBE.

abc: 8.7276 8.7276 6.5084
angles: 111.72 111.72 28.00
Positions (direct):
Cs 0.1714 0.1714 0.1720
Cs 0.8286 0.8286 0.8280
Pa 0.5000 0.5000 0.5000
F 0.0009 0.0009 0.3185
F 0.2053 0.2053 0.7081
F 0.3972 0.3972 0.6071
F 0.3998 0.3998 0.1843
F 0.6002 0.6002 0.8157
F 0.6028 0.6028 0.3929
F 0.7947 0.7947 0.2919
F 0.9991 0.9991 0.6815

Results
Space group ... No. 12
Theoretical density ... 5.01 g/cm3
Total moment ... 1.013 μB/f.u.
Total DFT energy (no corrections) ... -60.019 eV per cell
Raw formation energy ... -3265.6 kJ/mol of formula units
DOS at the Fermi energy ... 12.574 states/eV per cell
Excess energy over the best structure of this formula in the dataset ... 0.0257 eV/atom

***

An optimized crystal structure of LuBeRu. Source: Alexandria, functional GGA-PBE.

abc: 3.1892 3.1892 9.3038
angles: 90.00 90.00 90.00
Positions (direct):
Lu 0.0000 0.0000 0.0000
Lu 0.5000 0.5000 0.5000
Be 0.0000 0.0000 0.7132
Be 0.5000 0.5000 0.2132
Ru 0.0000 0.0000 0.2985
Ru 0.5000 0.5000 0.7985

Results
Energy of formation ... -327 meV/atom
Space group ... No. 107
Theoretical density ... 10.00 g/cm3
Total moment ... 0.009 μB/f.u.
Total DFT energy (no corrections) ... -37.007 eV per cell
DOS at the Fermi energy ... 3.268 states/eV per cell
Excess energy over the best structure of this formula in the dataset ... 0.0172 eV/atom

***

An optimized crystal structure of Tb2YU2Ru5. Source: Alexandria, functional GGA-PBE.

abc: 10.6297 10.6297 3.6073
angles: 90.00 90.00 90.00
Positions (direct):
Tb 0.1750 0.3250 0.0000
Tb 0.3250 0.8250 0.0000
Tb 0.6750 0.1750 0.0000
Tb 0.8250 0.6750 0.0000
Y 0.0000 0.0000 0.0000
Y 0.5000 0.5000 0.0000
U 0.1343 0.6343 0.0000
U 0.3657 0.1343 0.0000
U 0.6343 0.8657 0.0000
U 0.8657 0.3657 0.0000
Ru 0.0000 0.5000 0.5000
Ru 0.0533 0.7852 0.5000
Ru 0.2148 0.0533 0.5000
Ru 0.2852 0.5533 0.5000
Ru 0.4467 0.2852 0.5000
Ru 0.5000 0.0000 0.5000
Ru 0.5533 0.7148 0.5000
Ru 0.7148 0.4467 0.5000
Ru 0.7852 0.9467 0.5000
Ru 0.9467 0.2148 0.5000

Results
Energy of formation ... -272 meV/atom
Space group ... No. 127
Theoretical density ... 11.31 g/cm3
Total moment ... 0.000 μB/f.u.
Total DFT energy (no corrections) ... -174.799 eV per cell
DOS at the Fermi energy ... 14.022 states/eV per cell

***

An optimized crystal structure of TmLuTlPt. Source: Alexandria, functional GGA-PBE.

abc: 7.1686 7.1686 7.1686
angles: 90.00 90.00 90.00
Positions (direct):
Tm 0.0000 0.0000 0.0000
Tm 0.0000 0.5000 0.5000
Tm 0.5000 0.0000 0.5000
Tm 0.5000 0.5000 0.0000
Lu 0.0000 0.0000 0.5000
Lu 0.0000 0.5000 0.0000
Lu 0.5000 0.0000 0.0000
Lu 0.5000 0.5000 0.5000
Tl 0.2500 0.2500 0.2500
Tl 0.2500 0.7500 0.7500
Tl 0.7500 0.2500 0.7500
Tl 0.7500 0.7500 0.2500
Pt 0.2500 0.2500 0.7500
Pt 0.2500 0.7500 0.2500
Pt 0.7500 0.2500 0.2500
Pt 0.7500 0.7500 0.7500

Results
Energy of formation ... -721 meV/atom
Space group ... No. 216
Theoretical density ... 13.40 g/cm3
Total moment ... 0.000 μB/f.u.
Total DFT energy (no corrections) ... -81.130 eV per cell
DOS at the Fermi energy ... 12.838 states/eV per cell

***

An optimized crystal structure of BaReTe2. Source: Alexandria, functional GGA-PBE.

abc: 6.5916 9.1319 4.1957
angles: 90.00 90.00 90.00
Positions (direct):
Ba 0.0000 0.0000 0.0000
Ba 0.5000 0.5000 0.0000
Re 0.0000 0.5000 0.0000
Re 0.5000 0.0000 0.0000
Te 0.0000 0.3184 0.5000
Te 0.0000 0.6816 0.5000
Te 0.5000 0.1816 0.5000
Te 0.5000 0.8184 0.5000

Results
Space group ... No. 65
Theoretical density ... 7.61 g/cm3
Total moment ... 0.978 μB/f.u.
Total DFT energy (no corrections) ... -41.823 eV per cell
Raw formation energy ... -24.8 kJ/mol of formula units
DOS at the Fermi energy ... 6.141 states/eV per cell
Excess energy over the best structure of this formula in the dataset ... 0.2109 eV/atom

***

An optimized crystal structure of Sm12Er7Tm. Source: Alexandria, functional GGA-PBE.

abc: 8.7579 8.7579 8.7579
angles: 94.36 94.36 94.36
Positions (direct):
Sm 0.0233 0.3538 0.0879
Sm 0.0879 0.0233 0.3538
Sm 0.1845 0.3167 0.7493
Sm 0.2507 0.8155 0.6833
Sm 0.3167 0.7493 0.1845
Sm 0.3538 0.0879 0.0233
Sm 0.6462 0.9121 0.9767
Sm 0.6833 0.2507 0.8155
Sm 0.7493 0.1845 0.3167
Sm 0.8155 0.6833 0.2507
Sm 0.9121 0.9767 0.6462
Sm 0.9767 0.6462 0.9121
Er 0.0000 0.0000 0.0000
Er 0.1525 0.4810 0.4178
Er 0.4178 0.1525 0.4810
Er 0.4810 0.4178 0.1525
Er 0.5190 0.5822 0.8475
Er 0.5822 0.8475 0.5190
Er 0.8475 0.5190 0.5822
Tm 0.5000 0.5000 0.5000

Results
Energy of formation ... 284 meV/atom
Space group ... No. 148
Theoretical density ... 7.84 g/cm3
Total moment ... 0.000 μB/f.u.
Total DFT energy (no corrections) ... -87.353 eV per cell
DOS at the Fermi energy ... 22.128 states/eV per cell
Excess energy over the best structure of this formula in the dataset ... 0.0365 eV/atom

***

An optimized crystal structure of AcLaIr4. Source: Alexandria, functional GGA-PBE.

abc: 5.5188 5.5188 5.5188
angles: 60.00 60.00 60.00
Positions (direct):
Ac 0.0000 0.0000 0.0000
La 0.2500 0.2500 0.2500
Ir 0.1259 0.6247 0.6247
Ir 0.6247 0.1259 0.6247
Ir 0.6247 0.6247 0.1259
Ir 0.6247 0.6247 0.6247

Results
Energy of formation ... -642 meV/atom
Space group ... No. 216
Theoretical density ... 15.85 g/cm3
Total moment ... 0.000 μB/f.u.
Total DFT energy (no corrections) ... -48.330 eV per cell
DOS at the Fermi energy ... 4.280 states/eV per cell

***

An optimized crystal structure of ReW. Source: Alexandria, functional GGA-PBE.

abc: 3.1391 3.1391 6.3561
angles: 90.00 90.00 90.00
Positions (direct):
Re 0.2500 0.2500 0.1354
Re 0.7500 0.7500 0.8646
W 0.2500 0.2500 0.6289
W 0.7500 0.7500 0.3711

Results
Energy of formation ... 117 meV/atom
Space group ... No. 129
Theoretical density ... 19.62 g/cm3
Total moment ... 0.000 μB/f.u.
Total DFT energy (no corrections) ... -50.334 eV per cell
DOS at the Fermi energy ... 2.781 states/eV per cell
Excess energy over the best structure of this formula in the dataset ... 0.0249 eV/atom

***

An optimized crystal structure of Dy3Ag2Hg. Source: Alexandria, functional GGA-PBE.

abc: 5.1844 5.1844 6.3347
angles: 90.00 90.00 120.00
Positions (direct):
Dy 0.0000 0.0000 0.0000
Dy 0.3333 0.6667 0.6726
Dy 0.6667 0.3333 0.3274
Ag 0.3333 0.6667 0.1703
Ag 0.6667 0.3333 0.8297
Hg 0.0000 0.0000 0.5000

Results
Energy of formation ... -379 meV/atom
Space group ... No. 164
Theoretical density ... 10.18 g/cm3
Total moment ... 0.000 μB/f.u.
Total DFT energy (no corrections) ... -22.083 eV per cell
DOS at the Fermi energy ... 3.810 states/eV per cell
Excess energy over the best structure of this formula in the dataset ... 0.0000 eV/atom

***

An optimized crystal structure of Na5Pu2Cl12. Source: Alexandria, functional GGA-PBE.

abc: 8.5295 8.5295 10.4864
angles: 108.74 108.74 55.59
Positions (direct):
Na 0.0000 0.0000 0.0000
Na 0.2731 0.2731 0.0838
Na 0.3327 0.3327 0.7942
Na 0.6673 0.6673 0.2058
Na 0.7269 0.7269 0.9162
Pu 0.2479 0.7521 0.5000
Pu 0.7521 0.2479 0.5000
Cl 0.0247 0.0247 0.3415
Cl 0.0734 0.5679 0.3639
Cl 0.1145 0.6161 0.9744
Cl 0.3839 0.8855 0.0256
Cl 0.4321 0.9266 0.6361
Cl 0.4779 0.4779 0.6624
Cl 0.5221 0.5221 0.3376
Cl 0.5679 0.0734 0.3639
Cl 0.6161 0.1145 0.9744
Cl 0.8855 0.3839 0.0256
Cl 0.9266 0.4321 0.6361
Cl 0.9753 0.9753 0.6585

Results
Space group ... No. 12
Theoretical density ... 2.91 g/cm3
Total moment ... 8.987 μB/f.u.
Total DFT energy (no corrections) ... -90.058 eV per cell
Raw formation energy ... -3149.2 kJ/mol of formula units
DOS at the Fermi energy ... 17.747 states/eV per cell

***

An optimized crystal structure of Zn4BIr3. Source: Alexandria, functional GGA-PBE.

abc: 2.8858 7.3008 10.9665
angles: 90.00 90.00 90.00
Positions (direct):
Zn 0.0000 0.1916 0.1493
Zn 0.0000 0.1916 0.8507
Zn 0.0000 0.8084 0.1493
Zn 0.0000 0.8084 0.8507
Zn 0.5000 0.3084 0.3507
Zn 0.5000 0.3084 0.6493
Zn 0.5000 0.6916 0.3507
Zn 0.5000 0.6916 0.6493
B 0.0000 0.5000 0.0000
B 0.5000 0.0000 0.5000
Ir 0.0000 0.0000 0.3632
Ir 0.0000 0.0000 0.6368
Ir 0.0000 0.5000 0.5000
Ir 0.5000 0.0000 0.0000
Ir 0.5000 0.5000 0.1368
Ir 0.5000 0.5000 0.8632

Results
Energy of formation ... -124 meV/atom
Space group ... No. 71
Theoretical density ... 12.20 g/cm3
Total moment ... 0.000 μB/f.u.
Total DFT energy (no corrections) ... -78.698 eV per cell
DOS at the Fermi energy ... 7.962 states/eV per cell

***

An optimized crystal structure of Sr2SnO. Source: Alexandria, functional GGA-PBE.

abc: 3.3484 3.3484 8.1720
angles: 90.00 90.00 90.00
Positions (direct):
Sr 0.0000 0.0000 0.1897
Sr 0.0000 0.0000 0.8103
Sn 0.5000 0.5000 0.5000
O 0.5000 0.5000 0.0000

Results
Space group ... No. 123
Theoretical density ... 5.62 g/cm3
Total moment ... 0.000 μB/f.u.
Total DFT energy (no corrections) ... -17.656 eV per cell
Raw formation energy ... -514.4 kJ/mol of formula units
DOS at the Fermi energy ... 0.249 states/eV per cell
Excess energy over the best structure of this formula in the dataset ... 0.1012 eV/atom